Entry from the Alexandria database: a geometry-optimized TiCoAgF6 structure (PBE+U).

```
18
Lattice="5.490 0.000 0.000 -2.745 4.755 0.000 0.000 0.000 10.213" Properties=species:S:1:pos:R:3 pbc="T T T"
Ag 0.000 0.000 5.106
F 0.961 1.775 8.710
F 3.706 2.980 3.604
F -1.689 3.035 8.710
F 2.017 0.055 1.503
F 4.434 1.719 1.503
F 1.784 2.980 1.503
F 1.689 3.035 6.609
Co 0.000 3.170 2.553
Ti 2.745 1.585 2.553
F -0.961 1.775 6.609
F 3.473 0.055 3.604
Ti 0.000 3.170 7.660
F 1.057 1.719 3.604
Co 2.745 1.585 7.660
Ag 0.000 0.000 0.000
F -0.728 4.700 6.609
F 0.728 4.700 8.710
```

For the total energy, the calculation gives -48.41 eV per formula unit. Its size of the total moment is 7.7 μB/cell. As for the symmetry: P-31c.